Arrangement a

A relaxed K2CaCo crystal, computed with PBEsol.

```
data_K2CaCo
_cell_length_a 3.6250
_cell_length_b 6.2433
_cell_length_c 13.7409
_cell_angle_alpha 90.00
_cell_angle_beta 90.00
_cell_angle_gamma 90.00
_space_group_name_H-M_alt 'I m m 2'
_space_group_IT_number 44
loop_
_space_group_symop_operation_xyz
'x,y,z'
'-x,-y,z'
'-x,y,z'
'x,-y,z'
'x+1/2,y+1/2,z+1/2'
'-x+1/2,-y+1/2,z+1/2'
'-x+1/2,y+1/2,z+1/2'
'x+1/2,-y+1/2,z+1/2'
loop_
_atom_site_label
_atom_site_type_symbol
_atom_site_fract_x
_atom_site_fract_y
_atom_site_fract_z
K1 K 0.0000 0.0000 0.0000
K2 K 0.0000 0.5000 0.1773
Ca1 Ca 0.0000 0.0000 0.3424
Co1 Co 0.0000 0.5000 0.6980
```

Values from the calculation:
- Volume: 311 Å³/cell

Arrangement b

A relaxed K2CaCo crystal, computed with PBEsol.

```
data_K2CaCo
_cell_length_a 3.7507
_cell_length_b 3.7507
_cell_length_c 10.7295
_cell_angle_alpha 90.00
_cell_angle_beta 90.00
_cell_angle_gamma 90.00
_space_group_name_H-M_alt 'P 4 m m'
_space_group_IT_number 99
loop_
_space_group_symop_operation_xyz
'x,y,z'
'-y,x,z'
'-x,-y,z'
'y,-x,z'
'-x,y,z'
'y,x,z'
'x,-y,z'
'-y,-x,z'
loop_
_atom_site_label
_atom_site_type_symbol
_atom_site_fract_x
_atom_site_fract_y
_atom_site_fract_z
K1 K 0.0000 0.0000 0.0000
K2 K 0.5000 0.5000 0.3745
Ca1 Ca 0.0000 0.0000 0.6787
Co1 Co 0.5000 0.5000 0.7817
```

Values from the calculation:
- Volume: 151 Å³/cell

Arrangement c

A relaxed K2CaCo crystal, computed with PBEsol.

```
data_K2CaCo
_cell_length_a 8.0408
_cell_length_b 8.0408
_cell_length_c 8.0408
_cell_angle_alpha 90.00
_cell_angle_beta 90.00
_cell_angle_gamma 90.00
_space_group_name_H-M_alt 'F -4 3 m'
_space_group_IT_number 216
_space_group_name_Hall 'F -4 2 3'
loop_
_atom_site_label
_atom_site_type_symbol
_atom_site_fract_x
_atom_site_fract_y
_atom_site_fract_z
K1 K 0.0000 0.0000 0.0000
K2 K 0.2500 0.2500 0.2500
Ca1 Ca 0.2500 0.2500 0.7500
Co1 Co 0.0000 0.0000 0.5000
```

Values from the calculation:
- Volume: 520 Å³/cell

arrangement b is favored, and the nearest alternative lies 164 meV/atom above it.